1.
DFT (PBE) results for a relaxed structure of SiHg3Ge.

## Properties
Theoretical density ... 8.60 Mg/m³
Polymorph energy (0 for the lowest one) ... 0.000 kcal/mol of atoms
DFT total energy ... -1.611 eV per atom
D(E_F) ... 4.3 states/eV per cell
Formation energy from raw total energies ... 0.5781 eV/atom

Unit cell a=5.137 b=5.137 c=5.137 alpha=90.00 beta=90.00 gamma=90.00
Space group Pm-3m (No. 221)
Inequivalent atoms, fractional coordinates:
1 Si 0.000 0.000 0.000
2 Hg 0.000 0.000 0.500
3 Ge 0.500 0.500 0.500

---

2.
DFT (PBE) results for a relaxed structure of Be2AlTc.

## Properties
Theoretical density ... 5.07 Mg/m³
ΔE_f ... 13 kJ/mol of formula units
DFT total energy ... -5.357 eV per atom
D(E_F) ... 10.6 states/eV per cell

Unit cell a=5.722 b=5.722 c=5.722 alpha=90.00 beta=90.00 gamma=90.00
Space group F-43m (No. 216)
Inequivalent atoms, fractional coordinates:
1 Be 0.000 0.000 0.000
2 Be 0.250 0.250 0.250
3 Al 0.000 0.000 0.500
4 Tc 0.250 0.250 0.750

---

3.
DFT (PBE) results for a relaxed structure of CsHg2As.

## Properties
Theoretical density ... 6.08 Mg/m³
ΔE_f ... -51 kJ/mol of formula units
DFT total energy ... -1.660 eV per atom
D(E_F) ... 2.2 states/eV per cell

Unit cell a=5.916 b=5.916 c=19.013 alpha=90.00 beta=90.00 gamma=90.00
Space group I4_1/amd (No. 141, origin choice 2)
Inequivalent atoms, fractional coordinates:
1 Cs 0.000 0.250 0.375
2 Hg 0.000 0.000 0.000
3 As 0.000 0.250 0.875

---

4.
DFT (PBE) results for a relaxed structure of Pm6In2Ge.

## Properties
Theoretical density ... 7.19 Mg/m³
ΔE_f ... -365 kJ/mol of formula units
DFT total energy ... -4.709 eV per atom
D(E_F) ... 22.6 states/eV per cell

Unit cell a=4.009 b=15.294 c=8.824 alpha=90.00 beta=90.00 gamma=90.00
Space group Amm2 (No. 38)
Inequivalent atoms, fractional coordinates:
1 Pm 0.000 0.000 0.000
2 Pm 0.000 0.129 0.612
3 Pm 0.500 0.000 0.349
4 Pm 0.500 0.196 0.937
5 In 0.000 0.167 0.241
6 Ge 0.500 0.000 0.742

---

5.
DFT (PBE) results for a relaxed structure of Tl2VGaTc.

## Properties
Theoretical density ... 8.55 Mg/m³
ΔE_f ... 766 kJ/mol of formula units
DFT total energy ... -3.861 eV per atom
D(E_F) ... 13.1 states/eV per cell

Unit cell a=5.099 b=5.099 c=4.684 alpha=90.00 beta=90.00 gamma=90.00
Space group P4/mmm (No. 123)
Inequivalent atoms, fractional coordinates:
1 Tl 0.000 0.500 0.000
2 V 0.000 0.000 0.500
3 Ga 0.500 0.500 0.000
4 Tc 0.500 0.500 0.500

---

6.
DFT (PBE) results for a relaxed structure of InCu3Pd.

## Properties
Theoretical density ... 6.58 Mg/m³
Polymorph energy (0 for the lowest one) ... 0.000 kcal/mol of atoms
ΔE_f ... 310 kJ/mol of formula units
DFT total energy ... -3.400 eV per atom
D(E_F) ... 2.1 states/eV per cell

Unit cell a=4.702 b=4.702 c=4.702 alpha=90.00 beta=90.00 gamma=90.00
Space group Pm-3m (No. 221)
Inequivalent atoms, fractional coordinates:
1 In 0.000 0.000 0.000
2 Cu 0.000 0.500 0.500
3 Pd 0.500 0.500 0.500

---

7.
DFT (PBE) results for a relaxed structure of UVGa.

## Properties
Theoretical density ... 11.36 Mg/m³
Polymorph energy (0 for the lowest one) ... 1.700 kcal/mol of atoms
ΔE_f ... 28 kJ/mol of formula units
DFT total energy ... -7.716 eV per atom
D(E_F) ... 6.6 states/eV per cell

Unit cell a=4.6526 b=4.6526 c=2.7960 alpha=90.00 beta=90.00 gamma=120.00
Space group P-6m2 (No. 187)
Inequivalent atoms, fractional coordinates:
1 U 0.0000 0.0000 0.0000
2 V 0.3333 0.6667 0.5000
3 Ga 0.6667 0.3333 0.5000

---

8.
DFT (PBE) results for a relaxed structure of Mg2ZnSi2Ru5.

## Properties
Theoretical density ... 7.58 Mg/m³
DFT total energy ... -6.425 eV per atom
D(E_F) ... 17.4 states/eV per cell
Formation energy from raw total energies ... -0.2563 eV/atom

Unit cell a=9.660 b=9.660 c=3.171 alpha=90.00 beta=90.00 gamma=90.00
Space group P4/mbm (No. 127)
Inequivalent atoms, fractional coordinates:
1 Mg 0.170 0.330 0.000
2 Zn 0.000 0.000 0.000
3 Si 0.132 0.632 0.000
4 Ru 0.000 0.500 0.500
5 Ru 0.069 0.802 0.500